1.
# KAlTe2N SCAN PBEsol geometry
data_KAlTe2N
_cell_length_a 6.015
_cell_length_b 6.015
_cell_length_c 3.445
_cell_angle_alpha 90.00
_cell_angle_beta 90.00
_cell_angle_gamma 90.00
_space_group_name_H-M_alt 'P 4/m m m'
_space_group_IT_number 123
_space_group_name_Hall '-P 4 2'
loop_
_atom_site_label
_atom_site_type_symbol
_atom_site_fract_x
_atom_site_fract_y
_atom_site_fract_z
K1 K 0.000 0.000 0.000
Al1 Al 0.500 0.500 0.500
Te1 Te 0.000 0.500 0.500
N1 N 0.500 0.500 0.000
# uncorrected formation energy: -0.227 eV/atom
# final energy: -20.201 eV/atom
# total moment: 0.00 μB/f.u.

2.
# KAlTeN2 SCAN PBEsol geometry
data_KAlTeN2
_cell_length_a 4.708
_cell_length_b 4.708
_cell_length_c 6.649
_cell_angle_alpha 90.00
_cell_angle_beta 90.00
_cell_angle_gamma 90.00
_space_group_name_H-M_alt 'P 4/m m m'
_space_group_IT_number 123
_space_group_name_Hall '-P 4 2'
loop_
_atom_site_label
_atom_site_type_symbol
_atom_site_fract_x
_atom_site_fract_y
_atom_site_fract_z
K1 K 0.000 0.000 0.000
Al1 Al 0.500 0.500 0.500
Te1 Te 0.000 0.000 0.500
N1 N 0.000 0.500 0.000
# uncorrected formation energy: 1.846 eV/atom
# final energy: -12.536 eV/atom
# total moment: 5.25 μB/f.u.

3.
# K3NaAl SCAN PBEsol geometry
data_K3NaAl
_cell_length_a 6.573
_cell_length_b 6.573
_cell_length_c 6.573
_cell_angle_alpha 90.00
_cell_angle_beta 90.00
_cell_angle_gamma 90.00
_space_group_name_H-M_alt 'P m -3 m'
_space_group_IT_number 221
_space_group_name_Hall '-P 4 2 3'
loop_
_atom_site_label
_atom_site_type_symbol
_atom_site_fract_x
_atom_site_fract_y
_atom_site_fract_z
K1 K 0.000 0.000 0.500
Na1 Na 0.000 0.000 0.000
Al1 Al 0.500 0.500 0.500
# final energy: -6.786 eV/atom
# energy of formation from the pure elements: 3.02 eV/f.u.
# total moment: 0.00 μB/f.u.

4.
# KNa7Al8Si8O32 SCAN PBEsol geometry
data_KNa7Al8Si8O32
_cell_length_a 8.409
_cell_length_b 9.923
_cell_length_c 10.047
_cell_angle_alpha 119.16
_cell_angle_beta 90.05
_cell_angle_gamma 90.02
_space_group_name_H-M_alt 'P 1'
_space_group_IT_number 1
loop_
_space_group_symop_operation_xyz
'x,y,z'
loop_
_atom_site_label
_atom_site_type_symbol
_atom_site_fract_x
_atom_site_fract_y
_atom_site_fract_z
K1 K 0.000 0.000 0.000
Na1 Na 0.005 0.024 0.441
Na2 Na 0.008 0.452 0.000
Na3 Na 0.008 0.577 0.546
Na4 Na 0.504 0.008 0.558
Na5 Na 0.505 0.015 0.935
Na6 Na 0.505 0.578 0.003
Na7 Na 0.510 0.448 0.451
Al1 Al 0.190 0.338 0.237
Al2 Al 0.193 0.922 0.664
Al3 Al 0.199 0.772 0.105
Al4 Al 0.200 0.364 0.664
Al5 Al 0.690 0.693 0.768
Al6 Al 0.693 0.108 0.337
Al7 Al 0.697 0.668 0.342
Al8 Al 0.701 0.261 0.902
Si1 Si 0.313 0.668 0.342
Si2 Si 0.317 0.259 0.902
Si3 Si 0.319 0.110 0.341
Si4 Si 0.324 0.694 0.769
Si5 Si 0.814 0.364 0.663
Si6 Si 0.816 0.771 0.106
Si7 Si 0.819 0.922 0.664
Si8 Si 0.825 0.337 0.236
O1 O 0.000 0.714 0.057
O2 O 0.188 0.792 0.735
O3 O 0.200 0.971 0.229
O4 O 0.203 0.538 0.353
O5 O 0.207 0.280 0.044
O6 O 0.237 0.364 0.835
O7 O 0.247 0.181 0.513
O8 O 0.267 0.840 0.479
O9 O 0.286 0.662 0.178
O10 O 0.306 0.510 0.651
O11 O 0.312 0.731 0.945
O12 O 0.324 0.074 0.777
O13 O 0.330 0.242 0.289
O14 O 0.498 0.629 0.357
O15 O 0.499 0.047 0.342
O16 O 0.499 0.753 0.747
O17 O 0.501 0.312 0.953
O18 O 0.688 0.237 0.265
O19 O 0.699 0.059 0.780
O20 O 0.704 0.494 0.651
O21 O 0.712 0.750 0.960
O22 O 0.732 0.665 0.169
O23 O 0.746 0.852 0.492
O24 O 0.770 0.193 0.523
O25 O 0.783 0.368 0.825
O26 O 0.802 0.522 0.353
O27 O 0.820 0.300 0.059
O28 O 0.822 0.954 0.232
O29 O 0.830 0.791 0.717
O30 O 0.998 0.989 0.669
O31 O 0.999 0.285 0.267
O32 O 0.999 0.406 0.653
# uncorrected formation energy: -3.017 eV/atom
# final energy: -9.792 eV/atom
# total moment: 0.00 μB/f.u.

5.
# KNaAlOs2 SCAN PBEsol geometry
data_KNaAlOs2
_cell_length_a 4.757
_cell_length_b 4.757
_cell_length_c 4.907
_cell_angle_alpha 90.00
_cell_angle_beta 90.00
_cell_angle_gamma 90.00
_space_group_name_H-M_alt 'P 4/m m m'
_space_group_IT_number 123
_space_group_name_Hall '-P 4 2'
loop_
_atom_site_label
_atom_site_type_symbol
_atom_site_fract_x
_atom_site_fract_y
_atom_site_fract_z
K1 K 0.000 0.000 0.000
Na1 Na 0.500 0.500 0.500
Al1 Al 0.500 0.500 0.000
Os1 Os 0.000 0.500 0.500
# final energy: -30.371 eV/atom
# energy of formation from the pure elements: 12.20 eV/f.u.
# total moment: 3.52 μB/f.u.

6.
# K2NaAlP2 SCAN PBEsol geometry
data_K2NaAlP2
_cell_length_a 6.570
_cell_length_b 14.479
_cell_length_c 6.246
_cell_angle_alpha 90.00
_cell_angle_beta 90.00
_cell_angle_gamma 90.00
_space_group_name_H-M_alt 'I b a m'
_space_group_IT_number 72
_space_group_name_Hall '-I 2 2c'
loop_
_atom_site_label
_atom_site_type_symbol
_atom_site_fract_x
_atom_site_fract_y
_atom_site_fract_z
K1 K 0.241 0.176 0.000
Na1 Na 0.000 0.000 0.250
Al1 Al 0.000 0.500 0.250
P1 P 0.198 0.407 0.000
# final energy: -8.935 eV/atom
# energy of formation from the pure elements: -4.19 eV/f.u.
# total moment: 0.00 μB/f.u.

7.
# K3NbAl SCAN PBEsol geometry
data_K3NbAl
_cell_length_a 6.353
_cell_length_b 6.353
_cell_length_c 6.353
_cell_angle_alpha 90.00
_cell_angle_beta 90.00
_cell_angle_gamma 90.00
_space_group_name_H-M_alt 'P m -3 m'
_space_group_IT_number 221
_space_group_name_Hall '-P 4 2 3'
loop_
_atom_site_label
_atom_site_type_symbol
_atom_site_fract_x
_atom_site_fract_y
_atom_site_fract_z
K1 K 0.000 0.000 0.500
Nb1 Nb 0.500 0.500 0.500
Al1 Al 0.000 0.000 0.000
# final energy: -11.863 eV/atom
# energy of formation from the pure elements: 6.55 eV/f.u.
# total moment: 3.63 μB/f.u.

8.
# KAlNi2 SCAN PBEsol geometry
data_KAlNi2
_cell_length_a 2.729
_cell_length_b 5.484
_cell_length_c 9.302
_cell_angle_alpha 90.00
_cell_angle_beta 90.00
_cell_angle_gamma 90.00
_space_group_name_H-M_alt 'I m m m'
_space_group_IT_number 71
_space_group_name_Hall '-I 2 2'
loop_
_atom_site_label
_atom_site_type_symbol
_atom_site_fract_x
_atom_site_fract_y
_atom_site_fract_z
K1 K 0.000 0.000 0.000
Al1 Al 0.000 0.000 0.500
Ni1 Ni 0.000 0.500 0.201
# final energy: -11.552 eV/atom
# energy of formation from the pure elements: 2.22 eV/f.u.
# total moment: 0.00 μB/f.u.

9.
# KAlNi2 SCAN PBEsol geometry
data_KAlNi2
_cell_length_a 2.633
_cell_length_b 4.856
_cell_length_c 10.059
_cell_angle_alpha 90.00
_cell_angle_beta 90.00
_cell_angle_gamma 90.00
_space_group_name_H-M_alt 'I m m 2'
_space_group_IT_number 44
loop_
_space_group_symop_operation_xyz
'x,y,z'
'-x,-y,z'
'-x,y,z'
'x,-y,z'
'x+1/2,y+1/2,z+1/2'
'-x+1/2,-y+1/2,z+1/2'
'-x+1/2,y+1/2,z+1/2'
'x+1/2,-y+1/2,z+1/2'
loop_
_atom_site_label
_atom_site_type_symbol
_atom_site_fract_x
_atom_site_fract_y
_atom_site_fract_z
K1 K 0.000 0.000 0.000
Al1 Al 0.000 0.500 0.201
Ni1 Ni 0.000 0.000 0.493
Ni2 Ni 0.000 0.500 0.790
# final energy: -11.655 eV/atom
# energy of formation from the pure elements: 1.81 eV/f.u.
# total moment: 0.00 μB/f.u.

10.
# KAlNi2 SCAN PBEsol geometry
data_KAlNi2
_cell_length_a 2.957
_cell_length_b 2.957
_cell_length_c 7.889
_cell_angle_alpha 90.00
_cell_angle_beta 90.00
_cell_angle_gamma 90.00
_space_group_name_H-M_alt 'P 4 m m'
_space_group_IT_number 99
loop_
_space_group_symop_operation_xyz
'x,y,z'
'-y,x,z'
'-x,-y,z'
'y,-x,z'
'-x,y,z'
'y,x,z'
'x,-y,z'
'-y,-x,z'
loop_
_atom_site_label
_atom_site_type_symbol
_atom_site_fract_x
_atom_site_fract_y
_atom_site_fract_z
K1 K 0.000 0.000 0.000
Al1 Al 0.500 0.500 0.626
Ni1 Ni 0.000 0.000 0.461
Ni2 Ni 0.500 0.500 0.310
# final energy: -11.842 eV/atom
# energy of formation from the pure elements: 1.06 eV/f.u.
# total moment: 1.22 μB/f.u.

11.
# KAl11O17 SCAN PBEsol geometry
data_KAl11O17
_cell_length_a 5.6123
_cell_length_b 5.6123
_cell_length_c 22.7846
_cell_angle_alpha 90.00
_cell_angle_beta 90.00
_cell_angle_gamma 120.00
_space_group_name_H-M_alt 'P 63/m m c'
_space_group_IT_number 194
_space_group_name_Hall '-P 6c 2c'
loop_
_atom_site_label
_atom_site_type_symbol
_atom_site_fract_x
_atom_site_fract_y
_atom_site_fract_z
K1 K 0.3333 0.6667 0.2500
Al1 Al 0.0000 0.0000 0.0000
Al2 Al 0.1673 0.3346 0.1058
Al3 Al 0.3333 0.6667 0.5250
Al4 Al 0.3333 0.6667 0.6752
O1 O 0.0000 0.0000 0.1408
O2 O 0.0049 0.5025 0.1446
O3 O 0.1568 0.3135 0.5495
O4 O 0.3333 0.6667 0.0549
O5 O 0.3333 0.6667 0.7500
# relative energy among the computed polymorphs: 0.0 meV per atom
# uncorrected formation energy: -3.306 eV/atom
# final energy: -10.186 eV/atom
# total moment: 0.00 μB/f.u.

12.
# KAl9O14 SCAN PBEsol geometry
data_KAl9O14
_cell_length_a 8.207
_cell_length_b 7.689
_cell_length_c 9.722
_cell_angle_alpha 90.00
_cell_angle_beta 121.58
_cell_angle_gamma 90.00
_space_group_name_H-M_alt 'P 1 21/c 1'
_space_group_IT_number 14
loop_
_space_group_symop_operation_xyz
'x,y,z'
'-x,-y,-z'
'-x,y+1/2,-z+1/2'
'x,-y+1/2,z+1/2'
loop_
_atom_site_label
_atom_site_type_symbol
_atom_site_fract_x
_atom_site_fract_y
_atom_site_fract_z
K1 K 0.000 0.000 0.000
Al1 Al 0.174 0.003 0.672
Al2 Al 0.176 0.187 0.408
Al3 Al 0.230 0.666 0.878
Al4 Al 0.435 0.178 0.279
Al5 Al 0.500 0.000 0.000
O1 O 0.079 0.707 0.209
O2 O 0.097 0.561 0.949
O3 O 0.246 0.103 0.874
O4 O 0.253 0.206 0.615
O5 O 0.296 0.041 0.332
O6 O 0.405 0.711 0.539
O7 O 0.427 0.585 0.289
# uncorrected formation energy: -3.276 eV/atom
# final energy: -10.165 eV/atom
# total moment: 0.00 μB/f.u.